Run i
A geometry-optimized RbBeMo structure. Source: OQMD via LeMat-Bulk, functional PBE-GGA.

Structure (CIF):
```
data_RbBeMo
_chemical_formula_sum 'Rb4 Be4 Mo4'
_cell_length_a 6.7613
_cell_length_b 6.7613
_cell_length_c 6.7613
_cell_angle_alpha 90.00
_cell_angle_beta 90.00
_cell_angle_gamma 90.00
_space_group_name_H-M_alt 'F -4 3 m'
_space_group_IT_number 216
_space_group_name_Hall 'F -4 2 3'
loop_
_atom_site_label
_atom_site_type_symbol
_atom_site_fract_x
_atom_site_fract_y
_atom_site_fract_z
Rb1 Rb 0.0000 0.0000 0.0000
Be1 Be 0.0000 0.0000 0.5000
Mo1 Mo 0.2500 0.2500 0.7500
```


Run ii
A geometry-optimized RbBeMo structure. Source: OQMD via LeMat-Bulk, functional PBE-GGA.

Structure (CIF):
```
data_RbBeMo
_chemical_formula_sum 'Rb4 Be4 Mo4'
_cell_length_a 6.9399
_cell_length_b 6.9399
_cell_length_c 6.9399
_cell_angle_alpha 90.00
_cell_angle_beta 90.00
_cell_angle_gamma 90.00
_space_group_name_H-M_alt 'F -4 3 m'
_space_group_IT_number 216
_space_group_name_Hall 'F -4 2 3'
loop_
_atom_site_label
_atom_site_type_symbol
_atom_site_fract_x
_atom_site_fract_y
_atom_site_fract_z
Rb1 Rb 0.0000 0.0000 0.0000
Be1 Be 0.2500 0.2500 0.7500
Mo1 Mo 0.0000 0.0000 0.5000
```


Most stable: run ii


Run i
A geometry-optimized YBeReMo structure. Source: OQMD via LeMat-Bulk, functional PBE-GGA.

Structure (CIF):
```
data_YBeReMo
_chemical_formula_sum 'Y4 Be4 Re4 Mo4'
_cell_length_a 6.3717
_cell_length_b 6.3717
_cell_length_c 6.3717
_cell_angle_alpha 90.00
_cell_angle_beta 90.00
_cell_angle_gamma 90.00
_space_group_name_H-M_alt 'F -4 3 m'
_space_group_IT_number 216
_space_group_name_Hall 'F -4 2 3'
loop_
_atom_site_label
_atom_site_type_symbol
_atom_site_fract_x
_atom_site_fract_y
_atom_site_fract_z
Y1 Y 0.0000 0.0000 0.0000
Be1 Be 0.0000 0.0000 0.5000
Re1 Re 0.2500 0.2500 0.7500
Mo1 Mo 0.2500 0.2500 0.2500
```


Run ii
A geometry-optimized YBeReMo structure. Source: OQMD via LeMat-Bulk, functional PBE-GGA.

Structure (CIF):
```
data_YBeReMo
_chemical_formula_sum 'Y4 Be4 Re4 Mo4'
_cell_length_a 6.4317
_cell_length_b 6.4317
_cell_length_c 6.4317
_cell_angle_alpha 90.00
_cell_angle_beta 90.00
_cell_angle_gamma 90.00
_space_group_name_H-M_alt 'F -4 3 m'
_space_group_IT_number 216
_space_group_name_Hall 'F -4 2 3'
loop_
_atom_site_label
_atom_site_type_symbol
_atom_site_fract_x
_atom_site_fract_y
_atom_site_fract_z
Y1 Y 0.0000 0.0000 0.0000
Be1 Be 0.2500 0.2500 0.2500
Re1 Re 0.2500 0.2500 0.7500
Mo1 Mo 0.0000 0.0000 0.5000
```


Run iii
A geometry-optimized YBeReMo structure. Source: OQMD via LeMat-Bulk, functional PBE-GGA.

Structure (CIF):
```
data_YBeReMo
_chemical_formula_sum 'Y4 Be4 Re4 Mo4'
_cell_length_a 6.3815
_cell_length_b 6.3815
_cell_length_c 6.3815
_cell_angle_alpha 90.00
_cell_angle_beta 90.00
_cell_angle_gamma 90.00
_space_group_name_H-M_alt 'F -4 3 m'
_space_group_IT_number 216
_space_group_name_Hall 'F -4 2 3'
loop_
_atom_site_label
_atom_site_type_symbol
_atom_site_fract_x
_atom_site_fract_y
_atom_site_fract_z
Y1 Y 0.0000 0.0000 0.0000
Be1 Be 0.2500 0.2500 0.2500
Re1 Re 0.0000 0.0000 0.5000
Mo1 Mo 0.2500 0.2500 0.7500
```


Most stable: run iii


Run i
A geometry-optimized ScBeMo structure. Source: OQMD via LeMat-Bulk, functional PBE-GGA.

Structure (CIF):
```
data_ScBeMo
_chemical_formula_sum 'Sc4 Be4 Mo4'
_cell_length_a 6.0316
_cell_length_b 6.0316
_cell_length_c 6.0316
_cell_angle_alpha 90.00
_cell_angle_beta 90.00
_cell_angle_gamma 90.00
_space_group_name_H-M_alt 'F -4 3 m'
_space_group_IT_number 216
_space_group_name_Hall 'F -4 2 3'
loop_
_atom_site_label
_atom_site_type_symbol
_atom_site_fract_x
_atom_site_fract_y
_atom_site_fract_z
Sc1 Sc 0.0000 0.0000 0.0000
Be1 Be 0.0000 0.0000 0.5000
Mo1 Mo 0.2500 0.2500 0.7500
```


Run ii
A geometry-optimized ScBeMo structure. Source: OQMD via LeMat-Bulk, functional PBE-GGA.

Structure (CIF):
```
data_ScBeMo
_chemical_formula_sum 'Sc4 Be4 Mo4'
_cell_length_a 6.1551
_cell_length_b 6.1551
_cell_length_c 6.1551
_cell_angle_alpha 90.00
_cell_angle_beta 90.00
_cell_angle_gamma 90.00
_space_group_name_H-M_alt 'F -4 3 m'
_space_group_IT_number 216
_space_group_name_Hall 'F -4 2 3'
loop_
_atom_site_label
_atom_site_type_symbol
_atom_site_fract_x
_atom_site_fract_y
_atom_site_fract_z
Sc1 Sc 0.0000 0.0000 0.0000
Be1 Be 0.2500 0.2500 0.7500
Mo1 Mo 0.2500 0.2500 0.2500
```


Most stable: run i


Run i
A geometry-optimized BeSiMoW structure. Source: OQMD via LeMat-Bulk, functional PBE-GGA.

Structure (CIF):
```
data_BeSiMoW
_chemical_formula_sum 'Be4 Si4 Mo4 W4'
_cell_length_a 5.9570
_cell_length_b 5.9570
_cell_length_c 5.9570
_cell_angle_alpha 90.00
_cell_angle_beta 90.00
_cell_angle_gamma 90.00
_space_group_name_H-M_alt 'F -4 3 m'
_space_group_IT_number 216
_space_group_name_Hall 'F -4 2 3'
loop_
_atom_site_label
_atom_site_type_symbol
_atom_site_fract_x
_atom_site_fract_y
_atom_site_fract_z
Be1 Be 0.0000 0.0000 0.0000
Si1 Si 0.0000 0.0000 0.5000
Mo1 Mo 0.2500 0.2500 0.2500
W1 W 0.2500 0.2500 0.7500
```


Run ii
A geometry-optimized BeSiMoW structure. Source: OQMD via LeMat-Bulk, functional PBE-GGA.

Structure (CIF):
```
data_BeSiMoW
_chemical_formula_sum 'Be4 Si4 Mo4 W4'
_cell_length_a 6.0019
_cell_length_b 6.0019
_cell_length_c 6.0019
_cell_angle_alpha 90.00
_cell_angle_beta 90.00
_cell_angle_gamma 90.00
_space_group_name_H-M_alt 'F -4 3 m'
_space_group_IT_number 216
_space_group_name_Hall 'F -4 2 3'
loop_
_atom_site_label
_atom_site_type_symbol
_atom_site_fract_x
_atom_site_fract_y
_atom_site_fract_z
Be1 Be 0.0000 0.0000 0.0000
Si1 Si 0.2500 0.2500 0.2500
Mo1 Mo 0.0000 0.0000 0.5000
W1 W 0.2500 0.2500 0.7500
```


Most stable: run ii


Run i
A geometry-optimized TaBeMo structure. Source: OQMD via LeMat-Bulk, functional PBE-GGA.

Structure (CIF):
```
data_TaBeMo
_chemical_formula_sum 'Ta4 Be4 Mo4'
_cell_length_a 5.6726
_cell_length_b 5.6726
_cell_length_c 5.6726
_cell_angle_alpha 90.00
_cell_angle_beta 90.00
_cell_angle_gamma 90.00
_space_group_name_H-M_alt 'F -4 3 m'
_space_group_IT_number 216
_space_group_name_Hall 'F -4 2 3'
loop_
_atom_site_label
_atom_site_type_symbol
_atom_site_fract_x
_atom_site_fract_y
_atom_site_fract_z
Ta1 Ta 0.0000 0.0000 0.0000
Be1 Be 0.2500 0.2500 0.7500
Mo1 Mo 0.0000 0.0000 0.5000
```


Run ii
A geometry-optimized TaBeMo structure. Source: OQMD via LeMat-Bulk, functional PBE-GGA.

Structure (CIF):
```
data_TaBeMo
_chemical_formula_sum 'Ta4 Be4 Mo4'
_cell_length_a 5.9933
_cell_length_b 5.9933
_cell_length_c 5.9933
_cell_angle_alpha 90.00
_cell_angle_beta 90.00
_cell_angle_gamma 90.00
_space_group_name_H-M_alt 'F -4 3 m'
_space_group_IT_number 216
_space_group_name_Hall 'F -4 2 3'
loop_
_atom_site_label
_atom_site_type_symbol
_atom_site_fract_x
_atom_site_fract_y
_atom_site_fract_z
Ta1 Ta 0.0000 0.0000 0.0000
Be1 Be 0.2500 0.2500 0.7500
Mo1 Mo 0.2500 0.2500 0.2500
```


Most stable: run i


Run i
A geometry-optimized YBeTcMo structure. Source: OQMD via LeMat-Bulk, functional PBE-GGA.

Structure (CIF):
```
data_YBeTcMo
_chemical_formula_sum 'Y4 Be4 Tc4 Mo4'
_cell_length_a 6.3710
_cell_length_b 6.3710
_cell_length_c 6.3710
_cell_angle_alpha 90.00
_cell_angle_beta 90.00
_cell_angle_gamma 90.00
_space_group_name_H-M_alt 'F -4 3 m'
_space_group_IT_number 216
_space_group_name_Hall 'F -4 2 3'
loop_
_atom_site_label
_atom_site_type_symbol
_atom_site_fract_x
_atom_site_fract_y
_atom_site_fract_z
Y1 Y 0.0000 0.0000 0.0000
Be1 Be 0.0000 0.0000 0.5000
Tc1 Tc 0.2500 0.2500 0.7500
Mo1 Mo 0.2500 0.2500 0.2500
```


Run ii
A geometry-optimized YBeTcMo structure. Source: OQMD via LeMat-Bulk, functional PBE-GGA.

Structure (CIF):
```
data_YBeTcMo
_chemical_formula_sum 'Y4 Be4 Tc4 Mo4'
_cell_length_a 6.4215
_cell_length_b 6.4215
_cell_length_c 6.4215
_cell_angle_alpha 90.00
_cell_angle_beta 90.00
_cell_angle_gamma 90.00
_space_group_name_H-M_alt 'F -4 3 m'
_space_group_IT_number 216
_space_group_name_Hall 'F -4 2 3'
loop_
_atom_site_label
_atom_site_type_symbol
_atom_site_fract_x
_atom_site_fract_y
_atom_site_fract_z
Y1 Y 0.0000 0.0000 0.0000
Be1 Be 0.2500 0.2500 0.2500
Tc1 Tc 0.2500 0.2500 0.7500
Mo1 Mo 0.0000 0.0000 0.5000
```


Most stable: run ii